(1)
Compound: Si2HgI
Source: Alexandria
Functional: GGA-PBE
Structure: relaxed

## Properties
- formation energy from raw total energies (kJ/mol of formula units) = 294.8
- M_tot (μB/f.u.) = 0.00
- distance to the lowest polymorph of the same formula (kcal/mol of atoms) = 17.41
- calculated total energy (eV per cell) = -19.3

POSCAR file:
```
Si2HgI
1.0
-3.1231 3.1231 6.4480
3.1231 -3.1231 6.4480
3.1231 3.1231 -6.4480
Si Hg I
4 2 2
Cartesian
4.6847 1.2146 -1.6120
1.2146 1.5616 1.6120
-1.5616 1.9085 4.8360
1.9085 1.5616 8.0600
0.0000 0.0000 0.0000
0.0000 3.1231 3.2240
3.1231 0.0000 3.2240
0.0000 0.0000 6.4480
```


(2)
Compound: Ti4N2O
Source: Alexandria
Functional: GGA-PBE
Structure: relaxed

## Properties
- formation energy from raw total energies (kJ/mol of formula units) = -674.7
- M_tot (μB/f.u.) = 0.00
- distance to the lowest polymorph of the same formula (kcal/mol of atoms) = 15.34
- calculated total energy (eV per cell) = -60.2

POSCAR file:
```
Ti4N2O
1.0
-1.9663 1.9663 5.8158
1.9663 -1.9663 5.8158
1.9663 1.9663 -5.8158
Ti N O
4 2 1
Cartesian
1.9663 0.0000 0.0000
0.0000 0.0000 2.8595
0.0000 1.9663 0.0000
0.0000 0.0000 8.7721
0.0000 0.0000 4.6750
0.0000 0.0000 6.9566
0.0000 0.0000 0.0000
```


(3)
Compound: HfUAs
Source: Alexandria
Functional: GGA-PBE
Structure: relaxed

## Properties
- M_tot (μB/f.u.) = 0.00
- calculated formation energy (eV/atom) = -0.3840
- calculated total energy (eV per cell) = -54.1

POSCAR file:
```
HfUAs
1.0
1.8959 1.0946 10.3634
-1.8959 1.0946 10.3634
0.0000 -2.1892 10.3634
Hf U As
2 2 2
Cartesian
0.0000 0.0000 4.0467
0.0000 0.0000 27.0436
0.0000 0.0000 11.0288
0.0000 0.0000 20.0616
0.0000 0.0000 7.8295
0.0000 0.0000 23.2609
```


What is the M_tot in the second record? 0.00 μB/f.u.


What is the calculated total energy in the first record? -19.3 eV per cell